PmSmCuPb | Alexandria | GGA-PBE | relaxed; energy of formation = -309 meV/atom; D(E_F) = 4.22 states/eV/f.u.; space-group type = No. 216; theoretical density = 8.8 g/cm³
1.0
5.3213 0.0000 0.0000
2.6606 4.6084 0.0000
2.6606 1.5361 4.3448
Pm Cu Pb Sm
1 1 1 1
direct
0.0000 0.0000 0.0000
0.2500 0.2500 0.2500
0.7500 0.7500 0.7500
0.5000 0.5000 0.5000